VASP calculation (PBE) on a geometry-optimized PrNbH3 structure.

Lattice parameters (Å, degrees): 3.8850 3.8850 3.8850 90.00 90.00 90.00
Last column: nearest neighbours and their distance in Å.
Fractional coordinates of all 5 atoms:
Pr1 0.0000 0.0000 0.0000  12 H 2.75
Nb1 0.5000 0.5000 0.5000  6 H 1.94
H1 0.0000 0.5000 0.5000  2 Nb 1.94
H2 0.5000 0.0000 0.5000  2 Nb 1.94
H3 0.5000 0.5000 0.0000  2 Nb 1.94

## Properties
Total DFT energy (no corrections) in eV/atom: -5.263
Theoretical density in g/cm³: 6.707
SG: Pm-3m (221)
Total moment in μB per atom: 0.00

VASP calculation (PBE) on a geometry-optimized PrNbH structure.

Lattice parameters (Å, degrees): 11.2390 3.4164 5.5375 90.00 90.00 90.00
Last column: nearest neighbours and their distance in Å.
Fractional coordinates of all 12 atoms:
Pr1 0.1541 0.0000 0.0000  3 H 2.55-2.59
Pr2 0.1541 0.5000 0.5000  3 H 2.55-2.59
Pr3 0.8459 0.0000 0.0000  3 H 2.55-2.59
Pr4 0.8459 0.5000 0.5000  3 H 2.55-2.59
Nb1 0.3884 0.0000 0.5822  3 H 2.22-2.32
Nb2 0.3884 0.5000 0.0822  3 H 2.22-2.32
Nb3 0.6116 0.0000 0.5822  3 H 2.22-2.32
Nb4 0.6116 0.5000 0.0822  3 H 2.22-2.32
H1 0.0000 0.0000 0.6611  6 Pr 2.55-2.59
H2 0.0000 0.5000 0.1611  6 Pr 2.55-2.59
H3 0.5000 0.0000 0.9128  6 Nb 2.22-2.32
H4 0.5000 0.5000 0.4128  6 Nb 2.22-2.32

## Properties
Total DFT energy (no corrections) in eV/atom: -5.843
Theoretical density in g/cm³: 7.336
SG: Amm2 (38)
Total moment in μB per atom: 0.00

VASP calculation (PBE) on a geometry-optimized Nb2HPt structure.

Lattice parameters (Å, degrees): 6.2371 6.2371 6.2371 90.00 90.00 90.00
Last column: nearest neighbours and their distance in Å.
Fractional coordinates of all 16 atoms:
Nb1 0.2500 0.2500 0.2500  4 H 2.70, 4 Pt 2.70
Nb2 0.2500 0.2500 0.7500  4 Pt 2.70, 4 H 2.70
Nb3 0.2500 0.7500 0.2500  4 Pt 2.70, 4 H 2.70
Nb4 0.2500 0.7500 0.7500  4 H 2.70, 4 Pt 2.70
Nb5 0.7500 0.2500 0.2500  4 Pt 2.70, 4 H 2.70
Nb6 0.7500 0.2500 0.7500  4 H 2.70, 4 Pt 2.70
Nb7 0.7500 0.7500 0.2500  4 H 2.70, 4 Pt 2.70
Nb8 0.7500 0.7500 0.7500  4 Pt 2.70, 4 H 2.70
H1 0.0000 0.0000 0.0000  8 Nb 2.70
H2 0.0000 0.5000 0.5000  8 Nb 2.70
H3 0.5000 0.0000 0.5000  8 Nb 2.70
H4 0.5000 0.5000 0.0000  8 Nb 2.70
Pt1 0.0000 0.0000 0.5000  8 Nb 2.70
Pt2 0.0000 0.5000 0.0000  8 Nb 2.70
Pt3 0.5000 0.0000 0.0000  8 Nb 2.70
Pt4 0.5000 0.5000 0.5000  8 Nb 2.70

## Properties
Theoretical density in g/cm³: 10.455
SG: Fm-3m (225)
Energy above the most stable polymorph in this dataset in meV/atom: 0
Total moment in μB per atom: 0.00